{"formula": "MgZnNiPd", "functional": "GGA-PBE", "state": "optimized geometry", "lattice": [[-1.926, 0.716, 3.773], [-3.165, -2.587, 1.320], [0.652, -2.686, 3.289]], "species": ["Mg", "Zn", "Ni", "Pd"], "fractional_positions": [[0.500, 0.500, 0.500], [0.000, 0.000, 0.000], [0.750, 0.750, 0.750], [0.250, 0.250, 0.250]], "spacegroup": "F-43m, No. 216", "energy_ev_per_cell": -15.23}



{"formula": "PmMgNi", "functional": "GGA-PBE", "state": "optimized geometry", "lattice": [[-2.798, -0.815, 3.826], [-0.608, 3.436, 3.310], [-4.241, 2.233, 0.397]], "species": ["Ni", "Pm", "Mg"], "fractional_positions": [[0.250, 0.250, 0.250], [0.500, 0.500, 0.500], [0.750, 0.750, 0.750]], "spacegroup": "F-43m, No. 216", "energy_ev_per_cell": -10.19}



{"formula": "PmMgNi", "functional": "GGA-PBE", "state": "optimized geometry", "lattice": [[2.557, -3.838, -0.538], [-1.910, -4.177, 0.682], [-0.773, -2.817, -3.609]], "species": ["Mg", "Pm", "Ni"], "fractional_positions": [[0.250, 0.250, 0.250], [0.750, 0.750, 0.750], [0.000, 0.000, 0.000]], "spacegroup": "F-43m, No. 216", "energy_ev_per_cell": -12.26}



{"formula": "Pm2MgNi2", "functional": "GGA-PBE", "state": "optimized geometry", "lattice": [[-0.545, 3.551, -6.511], [-7.193, 1.339, 1.332], [0.934, 3.305, 1.724]], "species": ["Ni", "Ni", "Ni", "Ni", "Pm", "Pm", "Pm", "Pm", "Mg", "Mg"], "fractional_positions": [[0.881, 0.619, 0.000], [0.119, 0.381, 0.000], [0.381, 0.881, 0.000], [0.619, 0.119, 0.000], [0.326, 0.174, 0.500], [0.674, 0.826, 0.500], [0.826, 0.326, 0.500], [0.174, 0.674, 0.500], [0.000, 0.000, 0.000], [0.500, 0.500, 0.000]], "spacegroup": "P4/mbm, No. 127", "energy_ev_per_cell": -47.63}